No. 1
AsN | PBE | optimized geometry

Lattice parameters (Å, degrees): 2.9747 2.9747 13.8049 90.00 90.00 120.00
Last column: nearest neighbours and their distance in Å.
Space group R3m (No. 160, hexagonal axes)
One atom of each set of equivalent atoms:
As: 0.0000 0.0000 0.0000  3 N 1.97
N: 0.0000 0.0000 0.4035  3 As 1.97

## Properties
The calculation puts the energy relative to the elements, uncorrected at 0.5994 eV per atom. As for the energy above the lowest structure with this stoichiometry: 591 meV per atom. For the total moment, the calculation gives 0.0000 μB per atom. As for the total DFT energy (no corrections): -5.888 eV per atom.

---

No. 2
Li8Pd2Pb | PBE | optimized geometry

Lattice parameters (Å, degrees): 8.0902 11.1650 4.2776 90.00 90.00 90.00
Last column: nearest neighbours and their distance in Å.
Space group Cmmm (No. 65)
One atom of each set of equivalent atoms:
Li: 0.0000 0.2437 0.0000  2 Pd 2.55
Li: 0.1552 0.0000 0.0000  1 Li 2.51, 1 Pb 2.79
Li: 0.1747 0.3627 0.5000  1 Pd 2.64, 4 Li 2.80-2.89
Pd: 0.0000 0.1198 0.5000  8 Li 2.55-2.82, 1 Pd 2.68
Pb: 0.0000 0.5000 0.0000  12 Li 2.79-2.99

## Properties
For the total moment, the calculation gives 0.0000 μB per atom. As for the total DFT energy (no corrections): -2.946 eV per atom. The calculation puts the formation energy from the elements at -0.27 eV/atom.

---

No. 3
In2GeO6 | PBE | optimized geometry

Lattice parameters (Å, degrees): 4.8264 4.8264 9.6515 90.00 90.00 90.00
Last column: nearest neighbours and their distance in Å.
Space group P4_2/mnm (No. 136)
One atom of each set of equivalent atoms:
In: 0.0000 0.0000 0.1688  6 O 2.16-2.21
Ge: 0.0000 0.0000 0.5000  6 O 1.91-1.92
O: 0.1848 0.1848 0.3521  1 Ge 1.91
O: 0.2182 0.2182 0.0000  1 Ge 1.92

## Properties
The calculation puts the energy relative to the elements, uncorrected at -1.1589 eV per atom. For the total moment, the calculation gives 0.2251 μB per atom. As for the total DFT energy (no corrections): -5.586 eV per atom.

---

No. 4
NaGa2Rh2 | PBE | optimized geometry

Lattice parameters (Å, degrees): 4.0955 4.0955 10.8578 90.00 90.00 90.00
Last column: nearest neighbours and their distance in Å.
Space group I4/mmm (No. 139)
One atom of each set of equivalent atoms:
Na: 0.0000 0.0000 0.0000  8 Rh 3.17, 8 Ga 3.40
Ga: 0.0000 0.5000 0.2500  4 Rh 2.50
Rh: 0.0000 0.0000 0.3814  4 Ga 2.50, 1 Rh 2.58

## Properties
As for the energy above the lowest structure with this stoichiometry: 213 meV per atom. For the total moment, the calculation gives 0.0000 μB per atom. As for the total DFT energy (no corrections): -4.700 eV per atom. The calculation puts the formation energy from the elements at -0.28 eV/atom.

---

- What is the total DFT energy (no corrections) in the second record?
  -2.946 eV per atom

---

Copy entry 4 word for word.
NaGa2Rh2 | PBE | optimized geometry

Lattice parameters (Å, degrees): 4.0955 4.0955 10.8578 90.00 90.00 90.00
Last column: nearest neighbours and their distance in Å.
Space group I4/mmm (No. 139)
One atom of each set of equivalent atoms:
Na: 0.0000 0.0000 0.0000  8 Rh 3.17, 8 Ga 3.40
Ga: 0.0000 0.5000 0.2500  4 Rh 2.50
Rh: 0.0000 0.0000 0.3814  4 Ga 2.50, 1 Rh 2.58

## Properties
As for the energy above the lowest structure with this stoichiometry: 213 meV per atom. For the total moment, the calculation gives 0.0000 μB per atom. As for the total DFT energy (no corrections): -4.700 eV per atom. The calculation puts the formation energy from the elements at -0.28 eV/atom.